Density functional theory data (PBE) for a geometry-optimized K2P2PdSe6 structure.

The structure in POSCAR format:
```
K2P2PdSe6
1.0
3.568 2.060 7.143
-3.568 2.060 7.143
0.000 -4.120 7.143
K P Pd Se
2 2 1 6
Direct
0.235 0.235 0.235
0.765 0.765 0.765
0.431 0.431 0.431
0.569 0.569 0.569
0.000 0.000 0.000
0.228 0.759 0.759
0.241 0.241 0.772
0.241 0.772 0.241
0.759 0.228 0.759
0.759 0.759 0.228
0.772 0.241 0.241
```

Properties
SG: R-3m
Final energy: -3.9438 eV per atom
ΔE_f (raw): -37.43 kJ per mole of atoms